Pm3MoO6 | PBE+U | optimized geometry

Cell lengths 6.8210, 6.8210, 6.8210 Å; angles 92.51, 92.51, 92.51 degrees
Last column: nearest neighbours and their distance in Å.
Element x y z (fractional)
Pm (0.4388, 0.9307, 0.7455)  6 O 2.31-2.41
Pm (0.9307, 0.7455, 0.4388)  6 O 2.31-2.41
Pm (0.2545, 0.5612, 0.0693)  6 O 2.31-2.41
Pm (0.7455, 0.4388, 0.9307)  6 O 2.31-2.41
Pm (0.0693, 0.2545, 0.5612)  6 O 2.31-2.41
Pm (0.5612, 0.0693, 0.2545)  6 O 2.31-2.41
Mo (0.0000, 0.0000, 0.0000)  6 O 2.22
Mo (0.5000, 0.5000, 0.5000)  6 O 2.17
O (0.3050, 0.9133, 0.0663)  1 Mo 2.22, 3 Pm 2.31-2.41
O (0.0867, 0.9337, 0.6950)  1 Mo 2.22, 3 Pm 2.31-2.41
O (0.5921, 0.8047, 0.4630)  1 Mo 2.17, 3 Pm 2.36-2.38
O (0.9337, 0.6950, 0.0867)  1 Mo 2.22, 3 Pm 2.31-2.41
O (0.4630, 0.5921, 0.8047)  1 Mo 2.17, 3 Pm 2.36-2.38
O (0.1953, 0.5370, 0.4079)  1 Mo 2.17, 3 Pm 2.36-2.38
O (0.8047, 0.4630, 0.5921)  1 Mo 2.17, 3 Pm 2.36-2.38
O (0.5370, 0.4079, 0.1953)  1 Mo 2.17, 3 Pm 2.36-2.38
O (0.0663, 0.3050, 0.9133)  1 Mo 2.22, 3 Pm 2.31-2.41
O (0.4079, 0.1953, 0.5370)  1 Mo 2.17, 3 Pm 2.36-2.38
O (0.9133, 0.0663, 0.3050)  1 Mo 2.22, 3 Pm 2.31-2.41
O (0.6950, 0.0867, 0.9337)  1 Mo 2.22, 3 Pm 2.31-2.41

Density of states at the Fermi level = 0.00 states/eV/f.u.
ΔE to the lowest computed polymorph = 0 meV per atom
Space group = R-3, No. 148
Raw total energy = -162.2 eV per cell